Record 1
PrY12Ho5: optimized geometry, PBE-GGA.

Computed properties:
Final energy: -5.8347 eV per atom

CIF file:
```
data_PrY12Ho5
_symmetry_space_group_name_H-M 'C 1 2/m 1'
_symmetry_Int_Tables_number 12
_cell_length_a 6.196
_cell_length_b 10.730
_cell_length_c 17.470
_cell_angle_alpha 90.00
_cell_angle_beta 96.79
_cell_angle_gamma 90.00
loop_
_symmetry_equiv_pos_as_xyz
'x,y,z'
'-x,-y,-z'
'-x,y,-z'
'x,-y,z'
'x+1/2,y+1/2,z'
'-x+1/2,-y+1/2,-z'
'-x+1/2,y+1/2,-z'
'x+1/2,-y+1/2,z'
loop_
_atom_site_label
_atom_site_type_symbol
_atom_site_fract_x
_atom_site_fract_y
_atom_site_fract_z
Pr1 Pr 0.000 0.000 0.000
Y1 Y 0.112 0.000 0.333
Y2 Y 0.112 0.333 0.333
Y3 Y 0.221 0.500 0.167
Y4 Y 0.223 0.167 0.167
Ho1 Ho 0.000 0.166 0.500
Ho2 Ho 0.000 0.333 0.000
Ho3 Ho 0.000 0.500 0.500
```


Record 2
V6ZnCo12: optimized geometry, PBE-GGA.

Computed properties:
Final energy: -7.2414 eV per atom

CIF file:
```
data_V6ZnCo12
_symmetry_space_group_name_H-M 'R -3 m'
_symmetry_Int_Tables_number 166
_symmetry_space_group_name_Hall '-R 3 2"'
_cell_length_a 10.8435
_cell_length_b 10.8435
_cell_length_c 7.0354
_cell_angle_alpha 90.00
_cell_angle_beta 90.00
_cell_angle_gamma 120.00
loop_
_atom_site_label
_atom_site_type_symbol
_atom_site_fract_x
_atom_site_fract_y
_atom_site_fract_z
V1 V 0.0324 0.5162 0.2102
Zn1 Zn 0.0000 0.0000 0.0000
Co1 Co 0.0000 0.3885 0.5000
Co2 Co 0.0731 0.1462 0.3088
```


Record 3
Er2ScGaC: optimized geometry, PBE-GGA.

Computed properties:
Final energy: -6.0892 eV per atom

CIF file:
```
data_Er2ScGaC
_symmetry_space_group_name_H-M 'P 4/m m m'
_symmetry_Int_Tables_number 123
_symmetry_space_group_name_Hall '-P 4 2'
_cell_length_a 4.804
_cell_length_b 4.804
_cell_length_c 4.501
_cell_angle_alpha 90.00
_cell_angle_beta 90.00
_cell_angle_gamma 90.00
loop_
_atom_site_label
_atom_site_type_symbol
_atom_site_fract_x
_atom_site_fract_y
_atom_site_fract_z
Er1 Er 0.000 0.500 0.000
Sc1 Sc 0.000 0.000 0.500
Ga1 Ga 0.500 0.500 0.500
C1 C 0.000 0.000 0.000
```


Record 4
Pm2Cu3Rh: optimized geometry, PBE-GGA.

Computed properties:
Offset from the most stable computed form: 0.0000 eV per atom

CIF file:
```
data_Pm2Cu3Rh
_symmetry_space_group_name_H-M 'F m m m'
_symmetry_Int_Tables_number 69
_symmetry_space_group_name_Hall '-F 2 2'
_cell_length_a 7.500
_cell_length_b 8.619
_cell_length_c 14.753
_cell_angle_alpha 90.00
_cell_angle_beta 90.00
_cell_angle_gamma 90.00
loop_
_atom_site_label
_atom_site_type_symbol
_atom_site_fract_x
_atom_site_fract_y
_atom_site_fract_z
Pm1 Pm 0.245 0.000 0.000
Pm2 Pm 0.250 0.250 0.250
Cu1 Cu 0.000 0.000 0.335
Cu2 Cu 0.000 0.243 0.418
Rh1 Rh 0.000 0.000 0.162
```


Record 5
FeCu2Pd: optimized geometry, PBE-GGA.

Computed properties:
Offset from the most stable computed form: 0.0278 eV per atom

CIF file:
```
data_FeCu2Pd
_symmetry_space_group_name_H-M 'F m -3 m'
_symmetry_Int_Tables_number 225
_symmetry_space_group_name_Hall '-F 4 2 3'
_cell_length_a 5.921
_cell_length_b 5.921
_cell_length_c 5.921
_cell_angle_alpha 90.00
_cell_angle_beta 90.00
_cell_angle_gamma 90.00
loop_
_atom_site_label
_atom_site_type_symbol
_atom_site_fract_x
_atom_site_fract_y
_atom_site_fract_z
Fe1 Fe 0.000 0.000 0.000
Cu1 Cu 0.250 0.250 0.250
Pd1 Pd 0.000 0.000 0.500
```


Record 6
KSrBeIn2: optimized geometry, PBE-GGA.

Computed properties:
Final energy: -1.2174 eV per atom

CIF file:
```
data_KSrBeIn2
_symmetry_space_group_name_H-M 'P 4/m m m'
_symmetry_Int_Tables_number 123
_symmetry_space_group_name_Hall '-P 4 2'
_cell_length_a 6.286
_cell_length_b 6.286
_cell_length_c 7.415
_cell_angle_alpha 90.00
_cell_angle_beta 90.00
_cell_angle_gamma 90.00
loop_
_atom_site_label
_atom_site_type_symbol
_atom_site_fract_x
_atom_site_fract_y
_atom_site_fract_z
K1 K 0.000 0.000 0.000
Sr1 Sr 0.000 0.000 0.500
Be1 Be 0.500 0.500 0.000
In1 In 0.000 0.500 0.500
```


Record 7
CdBiP3: optimized geometry, PBE-GGA.

Computed properties:
Offset from the most stable computed form: 0.0000 eV per atom

CIF file:
```
data_CdBiP3
_symmetry_space_group_name_H-M 'P m -3 m'
_symmetry_Int_Tables_number 221
_symmetry_space_group_name_Hall '-P 4 2 3'
_cell_length_a 4.957
_cell_length_b 4.957
_cell_length_c 4.957
_cell_angle_alpha 90.00
_cell_angle_beta 90.00
_cell_angle_gamma 90.00
loop_
_atom_site_label
_atom_site_type_symbol
_atom_site_fract_x
_atom_site_fract_y
_atom_site_fract_z
Cd1 Cd 0.000 0.000 0.000
Bi1 Bi 0.500 0.500 0.500
P1 P 0.000 0.000 0.500
```


Record 8
Pm3HoF: optimized geometry, PBE-GGA.

Computed properties:
Final energy: -5.1121 eV per atom

CIF file:
```
data_Pm3HoF
_symmetry_space_group_name_H-M 'P m -3 m'
_symmetry_Int_Tables_number 221
_symmetry_space_group_name_Hall '-P 4 2 3'
_cell_length_a 5.137
_cell_length_b 5.137
_cell_length_c 5.137
_cell_angle_alpha 90.00
_cell_angle_beta 90.00
_cell_angle_gamma 90.00
loop_
_atom_site_label
_atom_site_type_symbol
_atom_site_fract_x
_atom_site_fract_y
_atom_site_fract_z
Pm1 Pm 0.000 0.000 0.500
Ho1 Ho 0.500 0.500 0.500
F1 F 0.000 0.000 0.000
```


Record 9
NaNpCoSe3: optimized geometry, PBE-GGA.

Computed properties:
Final energy: -6.1557 eV per atom

CIF file:
```
data_NaNpCoSe3
_symmetry_space_group_name_H-M 'P 1 21/m 1'
_symmetry_Int_Tables_number 11
_cell_length_a 8.463
_cell_length_b 3.965
_cell_length_c 9.145
_cell_angle_alpha 90.00
_cell_angle_beta 104.60
_cell_angle_gamma 90.00
loop_
_symmetry_equiv_pos_as_xyz
'x,y,z'
'-x,-y,-z'
'-x,y+1/2,-z'
'x,-y+1/2,z'
loop_
_atom_site_label
_atom_site_type_symbol
_atom_site_fract_x
_atom_site_fract_y
_atom_site_fract_z
Na1 Na 0.187 0.250 0.222
Np1 Np 0.322 0.750 0.835
Co1 Co 0.082 0.250 0.585
Se1 Se 0.093 0.250 0.853
Se2 Se 0.202 0.750 0.517
Se3 Se 0.433 0.750 0.161
```


Record 10
TaTl2Br: optimized geometry, PBE-GGA.

Computed properties:
Offset from the most stable computed form: 0.3009 eV per atom

CIF file:
```
data_TaTl2Br
_symmetry_space_group_name_H-M 'P 1 m 1'
_symmetry_Int_Tables_number 6
_cell_length_a 3.340
_cell_length_b 4.893
_cell_length_c 6.047
_cell_angle_alpha 90.00
_cell_angle_beta 105.95
_cell_angle_gamma 90.00
loop_
_symmetry_equiv_pos_as_xyz
'x,y,z'
'x,-y,z'
loop_
_atom_site_label
_atom_site_type_symbol
_atom_site_fract_x
_atom_site_fract_y
_atom_site_fract_z
Ta1 Ta 0.000 0.000 0.000
Tl1 Tl 0.261 0.000 0.516
Tl2 Tl 0.578 0.500 0.156
Br1 Br 0.856 0.500 0.711
```


Record 11
AcMnPt2: optimized geometry, PBE-GGA.

Computed properties:
Final energy: -7.0954 eV per atom

CIF file:
```
data_AcMnPt2
_symmetry_space_group_name_H-M 'R -3 m'
_symmetry_Int_Tables_number 166
_symmetry_space_group_name_Hall '-R 3 2"'
_cell_length_a 4.4504
_cell_length_b 4.4504
_cell_length_c 15.7070
_cell_angle_alpha 90.00
_cell_angle_beta 90.00
_cell_angle_gamma 120.00
loop_
_atom_site_label
_atom_site_type_symbol
_atom_site_fract_x
_atom_site_fract_y
_atom_site_fract_z
Ac1 Ac 0.0000 0.0000 0.0000
Mn1 Mn 0.0000 0.0000 0.5000
Pt1 Pt 0.0000 0.0000 0.2080
```


Record 12
La3CeS6: optimized geometry, PBE-GGA.

Computed properties:
Offset from the most stable computed form: 0.0078 eV per atom

CIF file:
```
data_La3CeS6
_symmetry_space_group_name_H-M 'P 1 21/m 1'
_symmetry_Int_Tables_number 11
_cell_length_a 11.450
_cell_length_b 4.184
_cell_length_c 11.795
_cell_angle_alpha 90.00
_cell_angle_beta 107.17
_cell_angle_gamma 90.00
loop_
_symmetry_equiv_pos_as_xyz
'x,y,z'
'-x,-y,-z'
'-x,y+1/2,-z'
'x,-y+1/2,z'
loop_
_atom_site_label
_atom_site_type_symbol
_atom_site_fract_x
_atom_site_fract_y
_atom_site_fract_z
La1 La 0.071 0.250 0.170
La2 La 0.184 0.750 0.508
La3 La 0.338 0.250 0.917
Ce1 Ce 0.455 0.250 0.315
S1 S 0.026 0.250 0.391
S2 S 0.095 0.250 0.933
S3 S 0.249 0.750 0.281
S4 S 0.317 0.750 0.753
S5 S 0.392 0.250 0.541
S6 S 0.417 0.750 0.100
```


Record 13
TmMg5: optimized geometry, PBE-GGA.

Computed properties:
Final energy: -2.0800 eV per atom

CIF file:
```
data_TmMg5
_symmetry_space_group_name_H-M 'P -1'
_symmetry_Int_Tables_number 2
_cell_length_a 3.773
_cell_length_b 6.143
_cell_length_c 6.937
_cell_angle_alpha 106.63
_cell_angle_beta 90.05
_cell_angle_gamma 107.81
loop_
_symmetry_equiv_pos_as_xyz
'x,y,z'
'-x,-y,-z'
loop_
_atom_site_label
_atom_site_type_symbol
_atom_site_fract_x
_atom_site_fract_y
_atom_site_fract_z
Tm1 Tm 0.000 0.000 0.000
Mg1 Mg 0.000 0.000 0.500
Mg2 Mg 0.326 0.652 0.171
Mg3 Mg 0.327 0.656 0.657
```


Record 14
Sm2HgBi: optimized geometry, PBE-GGA.

Computed properties:
Offset from the most stable computed form: 0.0278 eV per atom

CIF file:
```
data_Sm2HgBi
_symmetry_space_group_name_H-M 'P 4/m m m'
_symmetry_Int_Tables_number 123
_symmetry_space_group_name_Hall '-P 4 2'
_cell_length_a 4.053
_cell_length_b 4.053
_cell_length_c 7.024
_cell_angle_alpha 90.00
_cell_angle_beta 90.00
_cell_angle_gamma 90.00
loop_
_atom_site_label
_atom_site_type_symbol
_atom_site_fract_x
_atom_site_fract_y
_atom_site_fract_z
Sm1 Sm 0.000 0.000 0.250
Hg1 Hg 0.500 0.500 0.000
Bi1 Bi 0.500 0.500 0.500
```


Record 15
Pu4C2F5: optimized geometry, PBE-GGA.

Computed properties:
Final energy: -9.3756 eV per atom

CIF file:
```
data_Pu4C2F5
_symmetry_space_group_name_H-M 'C 1 2/m 1'
_symmetry_Int_Tables_number 12
_cell_length_a 11.880
_cell_length_b 4.161
_cell_length_c 9.487
_cell_angle_alpha 90.00
_cell_angle_beta 121.10
_cell_angle_gamma 90.00
loop_
_symmetry_equiv_pos_as_xyz
'x,y,z'
'-x,-y,-z'
'-x,y,-z'
'x,-y,z'
'x+1/2,y+1/2,z'
'-x+1/2,-y+1/2,-z'
'-x+1/2,y+1/2,-z'
'x+1/2,-y+1/2,z'
loop_
_atom_site_label
_atom_site_type_symbol
_atom_site_fract_x
_atom_site_fract_y
_atom_site_fract_z
Pu1 Pu 0.028 0.000 0.367
Pu2 Pu 0.164 0.500 0.110
C1 C 0.177 0.000 0.648
F1 F 0.000 0.500 0.500
F2 F 0.095 0.000 0.173
F3 F 0.168 0.000 0.955
```


Record 16
PaTlAg: optimized geometry, PBE-GGA.

Computed properties:
Offset from the most stable computed form: 0.0584 eV per atom

CIF file:
```
data_PaTlAg
_symmetry_space_group_name_H-M 'I 4 m m'
_symmetry_Int_Tables_number 107
_symmetry_space_group_name_Hall 'I 4 -2'
_cell_length_a 3.232
_cell_length_b 3.232
_cell_length_c 13.499
_cell_angle_alpha 90.00
_cell_angle_beta 90.00
_cell_angle_gamma 90.00
loop_
_atom_site_label
_atom_site_type_symbol
_atom_site_fract_x
_atom_site_fract_y
_atom_site_fract_z
Pa1 Pa 0.000 0.000 0.000
Tl1 Tl 0.000 0.000 0.317
Ag1 Ag 0.000 0.000 0.665
```


Record 17
La2Cu2Te: optimized geometry, PBE-GGA.

Computed properties:
Offset from the most stable computed form: 0.1655 eV per atom

CIF file:
```
data_La2Cu2Te
_symmetry_space_group_name_H-M 'P 4/m b m'
_symmetry_Int_Tables_number 127
_symmetry_space_group_name_Hall '-P 4 2ab'
_cell_length_a 8.411
_cell_length_b 8.411
_cell_length_c 4.010
_cell_angle_alpha 90.00
_cell_angle_beta 90.00
_cell_angle_gamma 90.00
loop_
_atom_site_label
_atom_site_type_symbol
_atom_site_fract_x
_atom_site_fract_y
_atom_site_fract_z
La1 La 0.174 0.326 0.000
Cu1 Cu 0.105 0.605 0.500
Te1 Te 0.000 0.000 0.000
```


Record 18
Cd3Pt: optimized geometry, PBE-GGA.

Computed properties:
Final energy: -2.4338 eV per atom

CIF file:
```
data_Cd3Pt
_symmetry_space_group_name_H-M 'P 63/m m c'
_symmetry_Int_Tables_number 194
_symmetry_space_group_name_Hall '-P 6c 2c'
_cell_length_a 4.7215
_cell_length_b 4.7215
_cell_length_c 8.6154
_cell_angle_alpha 90.00
_cell_angle_beta 90.00
_cell_angle_gamma 120.00
loop_
_atom_site_label
_atom_site_type_symbol
_atom_site_fract_x
_atom_site_fract_y
_atom_site_fract_z
Cd1 Cd 0.0000 0.0000 0.2500
Cd2 Cd 0.3333 0.6667 0.0762
Pt1 Pt 0.3333 0.6667 0.7500
```


Record 19
TbCo6Sn6: optimized geometry, PBE-GGA.

Computed properties:
Final energy: -5.6435 eV per atom

CIF file:
```
data_TbCo6Sn6
_symmetry_space_group_name_H-M 'I m m m'
_symmetry_Int_Tables_number 71
_symmetry_space_group_name_Hall '-I 2 2'
_cell_length_a 5.389
_cell_length_b 8.590
_cell_length_c 9.309
_cell_angle_alpha 90.00
_cell_angle_beta 90.00
_cell_angle_gamma 90.00
loop_
_atom_site_label
_atom_site_type_symbol
_atom_site_fract_x
_atom_site_fract_y
_atom_site_fract_z
Tb1 Tb 0.000 0.000 0.000
Co1 Co 0.000 0.252 0.500
Co2 Co 0.250 0.250 0.250
Sn1 Sn 0.000 0.000 0.337
Sn2 Sn 0.000 0.335 0.000
Sn3 Sn 0.000 0.500 0.330
```


Record 20
LiLaErIn: optimized geometry, PBE-GGA.

Computed properties:
Final energy: -3.7903 eV per atom

CIF file:
```
data_LiLaErIn
_symmetry_space_group_name_H-M 'F -4 3 m'
_symmetry_Int_Tables_number 216
_symmetry_space_group_name_Hall 'F -4 2 3'
_cell_length_a 7.635
_cell_length_b 7.635
_cell_length_c 7.635
_cell_angle_alpha 90.00
_cell_angle_beta 90.00
_cell_angle_gamma 90.00
loop_
_atom_site_label
_atom_site_type_symbol
_atom_site_fract_x
_atom_site_fract_y
_atom_site_fract_z
Li1 Li 0.000 0.000 0.000
La1 La 0.250 0.250 0.750
Er1 Er 0.250 0.250 0.250
In1 In 0.000 0.000 0.500
```


Record 21
TiNi2Sb2: optimized geometry, PBE-GGA.

Computed properties:
Final energy: -5.6080 eV per atom

CIF file:
```
data_TiNi2Sb2
_symmetry_space_group_name_H-M 'P 4/m b m'
_symmetry_Int_Tables_number 127
_symmetry_space_group_name_Hall '-P 4 2ab'
_cell_length_a 7.426
_cell_length_b 7.426
_cell_length_c 3.104
_cell_angle_alpha 90.00
_cell_angle_beta 90.00
_cell_angle_gamma 90.00
loop_
_atom_site_label
_atom_site_type_symbol
_atom_site_fract_x
_atom_site_fract_y
_atom_site_fract_z
Ti1 Ti 0.000 0.000 0.000
Ni1 Ni 0.134 0.366 0.500
Sb1 Sb 0.160 0.660 0.000
```


Record 22
MgZr2Te: optimized geometry, PBE-GGA.

Computed properties:
Offset from the most stable computed form: 0.0702 eV per atom

CIF file:
```
data_MgZr2Te
_symmetry_space_group_name_H-M 'P m m m'
_symmetry_Int_Tables_number 47
_cell_length_a 3.871
_cell_length_b 4.739
_cell_length_c 4.844
_cell_angle_alpha 90.00
_cell_angle_beta 90.00
_cell_angle_gamma 90.00
loop_
_symmetry_equiv_pos_as_xyz
'x,y,z'
'-x,-y,-z'
'-x,-y,z'
'x,y,-z'
'x,-y,-z'
'-x,y,z'
'-x,y,-z'
'x,-y,z'
loop_
_atom_site_label
_atom_site_type_symbol
_atom_site_fract_x
_atom_site_fract_y
_atom_site_fract_z
Mg1 Mg 0.000 0.000 0.000
Zr1 Zr 0.000 0.500 0.500
Zr2 Zr 0.500 0.500 0.000
Te1 Te 0.500 0.000 0.500
```


Record 23
PmGaSn: optimized geometry, PBE-GGA.

Computed properties:
Offset from the most stable computed form: 0.0706 eV per atom

CIF file:
```
data_PmGaSn
_symmetry_space_group_name_H-M 'C m c m'
_symmetry_Int_Tables_number 63
_symmetry_space_group_name_Hall '-C 2c 2'
_cell_length_a 4.373
_cell_length_b 16.417
_cell_length_c 4.266
_cell_angle_alpha 90.00
_cell_angle_beta 90.00
_cell_angle_gamma 90.00
loop_
_atom_site_label
_atom_site_type_symbol
_atom_site_fract_x
_atom_site_fract_y
_atom_site_fract_z
Pm1 Pm 0.000 0.095 0.250
Ga1 Ga 0.000 0.455 0.250
Sn1 Sn 0.000 0.289 0.250
```


Record 24
KVCl6: optimized geometry, PBE-GGA.

Computed properties:
Offset from the most stable computed form: 0.0000 eV per atom

CIF file:
```
data_KVCl6
_symmetry_space_group_name_H-M 'C 1 2/m 1'
_symmetry_Int_Tables_number 12
_cell_length_a 7.971
_cell_length_b 9.513
_cell_length_c 6.384
_cell_angle_alpha 90.00
_cell_angle_beta 109.73
_cell_angle_gamma 90.00
loop_
_symmetry_equiv_pos_as_xyz
'x,y,z'
'-x,-y,-z'
'-x,y,-z'
'x,-y,z'
'x+1/2,y+1/2,z'
'-x+1/2,-y+1/2,-z'
'-x+1/2,y+1/2,-z'
'x+1/2,-y+1/2,z'
loop_
_atom_site_label
_atom_site_type_symbol
_atom_site_fract_x
_atom_site_fract_y
_atom_site_fract_z
K1 K 0.000 0.000 0.000
V1 V 0.000 0.500 0.500
Cl1 Cl 0.100 0.331 0.766
Cl2 Cl 0.231 0.000 0.551
```